Density functional theory data (GGA-PBE) for a relaxed MnSe2Br crystal.

Cell and atoms, written as POSCAR:
```
MnSe2Br
1.0
1.6847 0.0000 12.8820
-0.8423 1.4590 12.8820
-0.8423 -1.4590 12.8820
Mn Se Br
1 2 1
direct
0.0000 0.0000 0.0000
0.0591 0.0591 0.0591
0.9409 0.9409 0.9409
0.5000 0.5000 0.5000
```

Energy above the most stable polymorph in this dataset (meV/atom): 915
Spin magnetization (μB/f.u.): 0.0
Crystal system: trigonal
Volume (A^3/atom): 23.75
Formation energy without anion corrections (kJ/mol of atoms): 53